# TbNd2PbN PBE relaxed
data_TbNd2PbN
_symmetry_space_group_name_H-M 'P 4/m m m'
_symmetry_Int_Tables_number 123
_symmetry_space_group_name_Hall '-P 4 2'
_cell_length_a 5.051
_cell_length_b 5.051
_cell_length_c 4.846
_cell_angle_alpha 90.00
_cell_angle_beta 90.00
_cell_angle_gamma 90.00
loop_
_atom_site_label
_atom_site_fract_x
_atom_site_fract_y
_atom_site_fract_z
Tb1 0.000 0.000 0.000
Nd1 0.000 0.500 0.500
Pb1 0.500 0.500 0.000
N1 0.000 0.000 0.500
# formation energy from raw total energies = -0.898 eV per atom

=====

# Nd3TePbN PBE relaxed
data_Nd3TePbN
_symmetry_space_group_name_H-M 'P 1 21/m 1'
_symmetry_Int_Tables_number 11
_cell_length_a 9.604
_cell_length_b 4.244
_cell_length_c 9.688
_cell_angle_alpha 90.00
_cell_angle_beta 97.73
_cell_angle_gamma 90.00
loop_
_symmetry_equiv_pos_as_xyz
'x,y,z'
'-x,-y,-z'
'-x,y+1/2,-z'
'x,-y+1/2,z'
loop_
_atom_site_label
_atom_site_fract_x
_atom_site_fract_y
_atom_site_fract_z
Nd1 0.001 0.250 0.144
Nd2 0.333 0.750 0.105
Nd3 0.349 0.750 0.607
Te1 0.320 0.250 0.361
Pb1 0.300 0.250 0.839
N1 0.096 0.750 0.085
# formation energy from raw total energies = -1.046 eV per atom